Material: PmReC
Method: DFT, PBE
State: relaxed

The value obtained for the total moment is 0.00 Bohr magnetons per cell. The volume is 19.73 A^3/atom. The calculation puts the offset from the most stable computed form at 187 meV/atom. For the formation energy, the calculation gives 0.192 eV/atom.

The space group is Cmcm (No. 63) and the conventional cell measures 5.3183, 8.9540 and 4.9717 Å, with angles of 90.00, 90.00 and 90.00 degrees. The inequivalent atoms are Pm at (0.0000, 0.1753, 0.2500), Re at (0.0000, 0.5000, 0.0000) and C at (0.0000, 0.3216, 0.7500).

Material: TaW2N
Method: DFT, PBE
State: relaxed

For the energy relative to the elements, uncorrected, the calculation gives 0.49 eV/atom. The value obtained for the total moment is 0.00 Bohr magnetons per cell. The volume is 14.57 A^3/atom.

The space group is R-3m (No. 166, hexagonal axes) and the conventional cell measures 2.8343, 2.8343 and 25.1384 Å, with angles of 90.00, 90.00 and 120.00 degrees. The inequivalent atoms are Ta at (0.0000, 0.0000, 0.0000), W at (0.0000, 0.0000, 0.1084) and N at (0.0000, 0.0000, 0.5000).

Material: V2GeCl2
Method: DFT, PBE
State: relaxed

For the energy relative to the elements, uncorrected, the calculation gives -0.03 eV/atom. The value obtained for the total moment is 10.39 Bohr magnetons per cell. The volume is 21.40 A^3/atom.

The space group is P4/mbm (No. 127) and the conventional cell measures 6.7573, 6.7573 and 4.6877 Å, with angles of 90.00, 90.00 and 90.00 degrees. The inequivalent atoms are V at (0.1607, 0.3393, 0.0000), Ge at (0.0000, 0.0000, 0.0000) and Cl at (0.1739, 0.3261, 0.5000).